(1)
! CaTl2SiS4, relaxed, DFT GGA-PBE; values from VASP
! D(E_F): 6.616 states/eV per cell
! volume: 374.18 Å³ per cell
! formation energy from raw total energies: -0.653 eV per atom
! E: -67.8 eV per cell
! total moment: 0.00 μB/f.u.
&SYSTEM
  ibrav = 0, nat = 16, ntyp = 4
/
ATOMIC_SPECIES
Ca 40.08 Ca.upf
Tl 204.38 Tl.upf
Si 28.09 Si.upf
S 32.06 S.upf
CELL_PARAMETERS angstrom
8.0981 -0.0048 -0.4021
-0.0104 8.0981 -0.4021
-4.2566 -4.2596 6.1290
ATOMIC_POSITIONS angstrom
Ca -0.0052 4.0491 -0.2010
Ca 5.9646 1.9145 2.4613
Tl 4.0491 -0.0024 -0.2010
Tl 1.9208 -2.1322 2.8634
Tl -2.1283 -2.1298 3.0645
Tl 4.0439 4.0467 -0.4021
Si 1.9155 1.9169 2.6624
Si 3.8415 -4.2643 5.7269
S -2.6896 2.1413 5.6426
S 3.6138 0.3407 2.7467
S 0.2173 3.4930 2.5781
S 6.5208 1.6924 -0.3178
S 2.1213 2.0278 5.1450
S 3.7202 3.6280 2.8422
S 0.1108 0.2059 2.4826
S 1.7098 1.8059 0.1798


(2)
! Cs3Rb12Cd5, relaxed, DFT GGA-PBE; values from VASP
! D(E_F): 77.215 states/eV per cell
! volume: 7145.08 Å³ per cell
! ΔE_f: 130.4 meV/atom
! E: -64.6 eV per cell
! total moment: 0.00 μB/f.u.
&SYSTEM
  ibrav = 0, nat = 80, ntyp = 3
/
ATOMIC_SPECIES
Cs 132.91 Cs.upf
Rb 85.47 Rb.upf
Cd 112.41 Cd.upf
CELL_PARAMETERS angstrom
21.0157 0.0000 0.0000
-7.0052 19.8137 0.0000
-7.0052 -9.9069 17.1592
ATOMIC_POSITIONS angstrom
Cs 12.2591 6.1918 2.1449
Cs 12.2591 13.6220 2.1449
Cs -1.7513 8.6685 10.7245
Cs 1.7513 -1.2384 6.4347
Cs 15.7617 0.0000 4.2898
Cs 1.7513 9.9069 4.2898
Cs 5.2539 0.0000 12.8694
Cs -8.7565 9.9069 12.8694
Cs 5.2539 11.1452 10.7245
Cs 8.7565 1.2384 6.4347
Cs -5.2539 -3.7151 15.0143
Cs -5.2539 3.7151 15.0143
Rb 13.8206 1.5728 0.0913
Rb 0.1899 5.8189 7.2632
Rb 15.7816 5.1781 5.3751
Rb 8.7367 2.8875 1.4077
Rb 3.1240 6.8562 11.6929
Rb 15.5929 9.6296 3.1132
Rb -1.7712 12.1975 6.7828
Rb -5.2341 16.9263 1.4077
Rb 0.3786 12.9575 11.6929
Rb 8.9254 10.1842 3.1132
Rb 10.6977 5.6608 7.1719
Rb 10.6977 18.2410 0.0913
Rb -6.6266 8.6010 8.6709
Rb 5.0850 7.3494 1.7968
Rb -7.1951 14.1529 7.1719
Rb 3.6925 -4.0880 9.8961
Rb -0.3786 1.7447 3.2045
Rb 5.0850 12.7417 1.3165
Rb 8.7367 14.6357 5.3751
Rb -1.5824 7.0721 1.3165
Rb -3.8812 11.6516 13.9547
Rb 5.2738 7.6163 6.7828
Rb 10.1292 11.2128 8.6709
Rb 8.5876 -2.5575 15.3624
Rb 1.7314 2.2906 10.3764
Rb -3.1240 -1.3059 8.4884
Rb -1.5824 12.4644 1.7968
Rb -1.7314 -4.7288 11.7841
Rb 10.8864 -1.7447 3.2045
Rb 8.5876 2.8348 15.8428
Rb 1.9202 -2.8348 15.8428
Rb 3.3127 13.9949 7.2632
Rb 7.3838 8.1621 13.9547
Rb 14.2003 -4.2461 9.9873
Rb 13.6318 1.3059 8.4884
Rb -3.6925 -8.3341 17.0680
Rb 1.9202 2.5575 15.3624
Rb 6.6266 -3.0506 5.4664
Rb -1.9202 -0.2773 14.0460
Rb -3.6925 4.2461 9.9873
Rb 12.2393 -7.0194 15.7515
Rb 8.7764 -2.2906 10.3764
Rb -1.7314 7.0194 15.7515
Rb -8.5876 0.2773 14.0460
Rb 3.8812 3.0506 5.4664
Rb -8.7764 4.7288 11.7841
Rb 6.8154 4.0880 9.8961
Rb -6.8154 8.3341 17.0680
Cd -1.7513 4.9534 4.2898
Cd -3.5026 9.9069 0.0000
Cd 0.0000 0.0000 0.0000
Cd 5.2539 3.7151 2.1449
Cd 7.0052 -4.9534 8.5796
Cd 7.0052 9.9069 0.0000
Cd -5.2539 11.1452 6.4347
Cd 8.7565 -6.1918 15.0143
Cd 8.7565 8.6685 6.4347
Cd 1.7513 -4.9534 12.8694
Cd 5.2539 14.8603 4.2898
Cd 3.5026 4.9534 8.5796
Cd 10.5078 0.0000 0.0000
Cd -3.5026 -4.9534 8.5796
Cd -1.7513 1.2384 10.7245
Cd -1.7513 16.0987 2.1449
Cd -7.0052 4.9534 8.5796
Cd 12.2591 -1.2384 10.7245
Cd 1.7513 6.1918 15.0143
Cd 8.7565 4.9534 12.8694


(3)
! SmLu3, relaxed, DFT GGA-PBE; values from VASP
! D(E_F): 6.287 states/eV per cell
! E above lowest polymorph: 0.001 eV/atom
! volume: 122.56 Å³ per cell
! ΔE_f: 6.3 meV/atom
! E: -18.3 eV per cell
! total moment: 0.00 μB/f.u.
&SYSTEM
  ibrav = 0, nat = 4, ntyp = 2
/
ATOMIC_SPECIES
Lu 174.97 Lu.upf
Sm 150.36 Sm.upf
CELL_PARAMETERS angstrom
-3.4327 -0.1854 0.9804
-0.3535 -5.7053 -2.3173
3.4107 0.8525 5.5893
ATOMIC_POSITIONS angstrom
Lu 0.6340 -2.9491 1.6639
Lu 1.5176 -2.0935 4.9206
Lu -0.8928 -0.2064 3.3532
Sm 3.0584 -4.8332 3.2799


(4)
! TbTm6Pu, relaxed, DFT GGA-PBE; values from VASP
! D(E_F): 13.412 states/eV per cell
! volume: 246.34 Å³ per cell
! ΔE_f: 408.4 meV/atom
! E: -42.5 eV per cell
! total moment: 7.64 μB/f.u.
&SYSTEM
  ibrav = 0, nat = 8, ntyp = 3
/
ATOMIC_SPECIES
Tb 158.93 Tb.upf
Tm 168.93 Tm.upf
Pu 244.00 Pu.upf
CELL_PARAMETERS angstrom
6.8015 0.9141 0.0000
2.5580 6.3812 0.0000
1.2790 3.1906 5.9991
ATOMIC_POSITIONS angstrom
Tb 0.0000 0.0000 0.0000
Tm 7.0385 5.5666 3.3365
Tm 5.7595 2.3759 2.6626
Tm 4.8791 8.1101 3.3365
Tm 3.6000 4.9195 2.6626
Tm 6.9183 5.3782 0.0000
Tm 2.4413 1.9172 0.0000
Pu 4.6798 3.6477 0.0000


(5)
! TbPm2Se4, relaxed, DFT GGA-PBE; values from VASP
! D(E_F): 4.445 states/eV per cell
! E above lowest polymorph: 0.039 eV/atom
! volume: 391.31 Å³ per cell
! formation energy from raw total energies: -1.837 eV per atom
! E: -81.9 eV per cell
! total moment: 0.00 μB/f.u.
&SYSTEM
  ibrav = 0, nat = 14, ntyp = 3
/
ATOMIC_SPECIES
Tb 158.93 Tb.upf
Pm 145.00 Pm.upf
Se 78.96 Se.upf
CELL_PARAMETERS angstrom
4.0245 0.0000 0.0000
-2.0123 6.9240 0.0000
0.0000 0.0000 14.0425
ATOMIC_POSITIONS angstrom
Tb 2.0123 1.7659 10.5319
Tb 0.0000 5.1581 3.5106
Pm 0.0000 1.8004 6.0243
Pm 2.0123 5.1236 13.0456
Pm 0.0000 1.8004 0.9969
Pm 2.0123 5.1236 8.0182
Se 2.0123 3.8687 1.7528
Se 2.0123 3.8687 5.2685
Se 0.0000 3.0553 12.2897
Se 0.0000 3.0553 8.7741
Se 2.0123 6.6092 10.5319
Se 0.0000 0.3148 3.5106
Se 2.0123 0.0000 0.0000
Se 2.0123 0.0000 7.0213


(6)
! PmSm6Te8, relaxed, DFT GGA-PBE; values from VASP
! D(E_F): 7.105 states/eV per cell
! volume: 491.15 Å³ per cell
! formation energy from raw total energies: -1.437 eV per atom
! E: -79.8 eV per cell
! total moment: 0.00 μB/f.u.
&SYSTEM
  ibrav = 0, nat = 15, ntyp = 3
/
ATOMIC_SPECIES
Pm 145.00 Pm.upf
Sm 150.36 Sm.upf
Te 127.60 Te.upf
CELL_PARAMETERS angstrom
-7.6101 3.6075 -2.7389
-4.7655 -3.9781 -6.3163
-7.7109 -3.8512 2.0347
ATOMIC_POSITIONS angstrom
Pm 0.0000 0.0000 0.0000
Sm -6.2382 -3.9146 -2.1408
Sm -3.8051 1.8038 -1.3695
Sm -6.1878 -0.1853 -4.5276
Sm -3.8555 -1.9256 1.0173
Sm -2.3828 -1.9890 -3.1581
Sm -7.6605 -0.1218 -0.3521
Te -15.0649 -3.1663 -5.2654
Te -5.0216 -1.0554 -1.7551
Te -8.8591 0.6723 -3.1349
Te -11.2275 -4.8940 -3.8857
Te -8.9081 -2.9579 -0.8115
Te -11.1785 -1.2638 -6.2090
Te -12.6120 -1.2021 -2.1446
Te -7.4746 -3.0196 -4.8759


(7)
! AcPm4Sm2Ho, relaxed, DFT GGA-PBE; values from VASP
! D(E_F): 11.812 states/eV per cell
! volume: 279.79 Å³ per cell
! ΔE_f: 25.7 meV/atom
! E: -36.9 eV per cell
! total moment: 0.00 μB/f.u.
&SYSTEM
  ibrav = 0, nat = 8, ntyp = 4
/
ATOMIC_SPECIES
Ac 227.00 Ac.upf
Pm 145.00 Pm.upf
Sm 150.36 Sm.upf
Ho 164.93 Ho.upf
CELL_PARAMETERS angstrom
5.1919 0.0000 0.0000
0.0000 5.0153 1.2845
0.0001 2.4369 11.3693
ATOMIC_POSITIONS angstrom
Ac 2.5960 2.5076 0.6422
Pm 0.0001 5.6092 9.4105
Pm 5.1919 1.8430 3.2433
Pm 2.5960 4.3499 3.8846
Pm 2.5960 3.1023 8.7692
Sm 0.0001 2.4369 11.3693
Sm 2.5960 1.2185 5.6847
Ho 0.0000 3.7261 6.3269


(8)
! Li2TiB2Pt5, relaxed, DFT GGA-PBE; values from VASP
! D(E_F): 5.688 states/eV per cell
! volume: 274.33 Å³ per cell
! ΔE_f: -544.1 meV/atom
! E: -121.4 eV per cell
! total moment: 0.00 μB/f.u.
&SYSTEM
  ibrav = 0, nat = 20, ntyp = 4
/
ATOMIC_SPECIES
Li 6.94 Li.upf
Ti 47.87 Ti.upf
B 10.81 B.upf
Pt 195.08 Pt.upf
CELL_PARAMETERS angstrom
3.1645 0.0000 0.0000
0.0000 9.3106 0.0000
0.0000 0.0000 9.3106
ATOMIC_POSITIONS angstrom
Li 0.0000 6.2876 1.6323
Li 0.0000 3.0230 7.6784
Li 0.0000 1.6323 3.0230
Li 0.0000 7.6784 6.2876
Ti 0.0000 0.0000 0.0000
Ti 0.0000 4.6553 4.6553
B 0.0000 1.1452 5.8005
B 0.0000 8.1654 3.5101
B 0.0000 5.8005 8.1654
B 0.0000 3.5101 1.1452
Pt 1.5823 2.0106 0.6782
Pt 1.5823 7.3000 8.6324
Pt 1.5823 0.6782 7.3000
Pt 1.5823 6.6659 3.9771
Pt 1.5823 8.6324 2.0106
Pt 1.5823 2.6447 5.3335
Pt 1.5823 5.3335 6.6659
Pt 1.5823 3.9771 2.6447
Pt 1.5823 4.6553 0.0000
Pt 1.5823 0.0000 4.6553


(9)
! KVHg, relaxed, DFT GGA-PBE; values from VASP
! D(E_F): 3.812 states/eV per cell
! E above lowest polymorph: 0.134 eV/atom
! volume: 161.47 Å³ per cell
! ΔE_f: 431.8 meV/atom
! E: -18.4 eV per cell
! total moment: 0.00 μB/f.u.
&SYSTEM
  ibrav = 0, nat = 6, ntyp = 3
/
ATOMIC_SPECIES
K 39.10 K.upf
Hg 200.59 Hg.upf
V 50.94 V.upf
CELL_PARAMETERS angstrom
5.3839 0.0006 -0.0061
-1.9354 9.4341 0.0132
0.0070 -0.2250 3.1786
ATOMIC_POSITIONS angstrom
K 2.7337 6.5018 2.5799
K 0.0256 3.8798 2.5607
Hg 2.7151 3.0628 0.8964
Hg 4.6904 0.4026 0.9280
V 1.9704 0.6376 2.3902
V 0.0337 8.5258 1.3547


(10)
! Nd12Dy3Th, relaxed, DFT GGA-PBE; values from VASP
! D(E_F): 23.667 states/eV per cell
! volume: 549.70 Å³ per cell
! ΔE_f: 26.1 meV/atom
! E: -78.0 eV per cell
! total moment: 0.00 μB/f.u.
&SYSTEM
  ibrav = 0, nat = 16, ntyp = 3
/
ATOMIC_SPECIES
Nd 144.24 Nd.upf
Dy 162.50 Dy.upf
Th 232.04 Th.upf
CELL_PARAMETERS angstrom
-2.6307 4.2989 -1.1201
-4.2826 -2.8001 -0.6884
-4.7158 2.3101 19.9426
ATOMIC_POSITIONS angstrom
Nd -3.4567 0.7494 -0.9042
Nd -4.6463 1.3321 4.1266
Nd -5.8146 1.9044 9.0671
Nd -6.9829 2.4767 14.0075
Nd -1.8986 2.4351 1.9064
Nd -3.0836 3.0156 6.9176
Nd -4.2630 3.5933 11.9049
Nd -5.4480 4.1738 16.9162
Nd -2.7245 -1.1144 2.1222
Nd -3.9095 -0.5339 7.1334
Nd -5.0889 0.0438 12.1208
Nd -6.2739 0.6243 17.1320
Dy -1.1814 0.5787 4.9958
Dy -2.3579 1.1550 9.9713
Dy -3.5345 1.7314 14.9467
Th 0.0000 0.0000 0.0000


Question: What is the formula in the third record?
Answer: SmLu3


Question: Look up the D(E_F) of the seventh one.
Answer: 11.812 states/eV per cell


Repeat the sixth record exactly.
! PmSm6Te8, relaxed, DFT GGA-PBE; values from VASP
! D(E_F): 7.105 states/eV per cell
! volume: 491.15 Å³ per cell
! formation energy from raw total energies: -1.437 eV per atom
! E: -79.8 eV per cell
! total moment: 0.00 μB/f.u.
&SYSTEM
  ibrav = 0, nat = 15, ntyp = 3
/
ATOMIC_SPECIES
Pm 145.00 Pm.upf
Sm 150.36 Sm.upf
Te 127.60 Te.upf
CELL_PARAMETERS angstrom
-7.6101 3.6075 -2.7389
-4.7655 -3.9781 -6.3163
-7.7109 -3.8512 2.0347
ATOMIC_POSITIONS angstrom
Pm 0.0000 0.0000 0.0000
Sm -6.2382 -3.9146 -2.1408
Sm -3.8051 1.8038 -1.3695
Sm -6.1878 -0.1853 -4.5276
Sm -3.8555 -1.9256 1.0173
Sm -2.3828 -1.9890 -3.1581
Sm -7.6605 -0.1218 -0.3521
Te -15.0649 -3.1663 -5.2654
Te -5.0216 -1.0554 -1.7551
Te -8.8591 0.6723 -3.1349
Te -11.2275 -4.8940 -3.8857
Te -8.9081 -2.9579 -0.8115
Te -11.1785 -1.2638 -6.2090
Te -12.6120 -1.2021 -2.1446
Te -7.4746 -3.0196 -4.8759